# CoAsPtO, optimized geometry, DFT PBE+U
# Total magnetic moment = 4.260 Bohr magnetons per cell
# DFT total energy = -5.42 eV/atom
# Crystal system = orthorhombic
# Space group = Pmc2_1 (26)
data_CoAsPtO
_chemical_formula_sum 'Co2 As2 Pt2 O2'
_symmetry_space_group_name_H-M 'P 1'
_symmetry_Int_Tables_number 1
_cell_length_a 3.558
_cell_length_b 6.279
_cell_length_c 5.489
_cell_angle_alpha 90.00
_cell_angle_beta 90.00
_cell_angle_gamma 90.00
loop_
_symmetry_equiv_pos_as_xyz
'x,y,z'
loop_
_atom_site_label
_atom_site_fract_x
_atom_site_fract_y
_atom_site_fract_z
Co1 0.000 0.132 0.000
Co2 0.000 0.868 0.500
As1 0.000 0.249 0.561
As2 0.000 0.751 0.061
Pt1 0.500 0.498 0.031
Pt2 0.500 0.502 0.531
O1 0.500 0.153 0.030
O2 0.500 0.847 0.530

---

# RbCoAsO, optimized geometry, DFT PBE+U
# Total magnetic moment = 0.064 Bohr magnetons per cell
# DFT total energy = -3.87 eV/atom
# Crystal system = tetragonal
# Space group = P4/nmm (129)
data_RbCoAsO
_chemical_formula_sum 'Rb2 Co2 As2 O2'
_symmetry_space_group_name_H-M 'P 1'
_symmetry_Int_Tables_number 1
_cell_length_a 3.662
_cell_length_b 3.662
_cell_length_c 11.874
_cell_angle_alpha 90.00
_cell_angle_beta 90.00
_cell_angle_gamma 90.00
loop_
_symmetry_equiv_pos_as_xyz
'x,y,z'
loop_
_atom_site_label
_atom_site_fract_x
_atom_site_fract_y
_atom_site_fract_z
Rb1 0.250 0.250 0.164
Rb2 0.750 0.750 0.836
Co1 0.250 0.750 0.500
Co2 0.750 0.250 0.500
As1 0.250 0.250 0.612
As2 0.750 0.750 0.388
O1 0.250 0.750 0.000
O2 0.750 0.250 0.000